This record from Alexandria via LeMat-Bulk describes a geometry-optimized BaMg2Cd structure. The functional is PBE.

Geometry as CIF:
```
data_BaMg2Cd
_cell_length_a 5.503
_cell_length_b 5.503
_cell_length_c 20.282
_cell_angle_alpha 90.00
_cell_angle_beta 90.00
_cell_angle_gamma 90.00
_symmetry_space_group_name_H-M 'I -4 2 d'
_symmetry_Int_Tables_number 122
_symmetry_space_group_name_Hall 'I -4 2bw'
loop_
_atom_site_label
_atom_site_fract_x
_atom_site_fract_y
_atom_site_fract_z
Ba1 0.000 0.000 0.000
Mg1 0.057 0.250 0.625
Cd1 0.000 0.000 0.500
```

=====

This record from Alexandria via LeMat-Bulk describes a geometry-optimized Ba2Mg5Cd12 structure. The functional is PBE.

Geometry as CIF:
```
data_Ba2Mg5Cd12
_cell_length_a 10.3627
_cell_length_b 10.3627
_cell_length_c 15.2787
_cell_angle_alpha 90.00
_cell_angle_beta 90.00
_cell_angle_gamma 120.00
_symmetry_space_group_name_H-M 'R -3 m'
_symmetry_Int_Tables_number 166
_symmetry_space_group_name_Hall '-R 3 2"'
loop_
_atom_site_label
_atom_site_fract_x
_atom_site_fract_y
_atom_site_fract_z
Ba1 0.0000 0.0000 0.1584
Mg1 0.0000 0.0000 0.4000
Mg2 0.0000 0.5000 0.0000
Cd1 0.0000 0.2890 0.5000
Cd2 0.0001 0.5000 0.3511
```

=====

This record from Alexandria via LeMat-Bulk describes a geometry-optimized Ba7Mg2Cd2 structure. The functional is PBE.

Geometry as CIF:
```
data_Ba7Mg2Cd2
_cell_length_a 9.065
_cell_length_b 13.306
_cell_length_c 9.079
_cell_angle_alpha 90.00
_cell_angle_beta 90.00
_cell_angle_gamma 90.00
_symmetry_space_group_name_H-M 'C m m m'
_symmetry_Int_Tables_number 65
_symmetry_space_group_name_Hall '-C 2 2'
loop_
_atom_site_label
_atom_site_fract_x
_atom_site_fract_y
_atom_site_fract_z
Ba1 0.000 0.000 0.000
Ba2 0.000 0.500 0.254
Ba3 0.250 0.250 0.284
Mg1 0.165 0.000 0.500
Cd1 0.000 0.290 0.000
```

=====

# BaMg14Cd PBE optimized geometry
data_BaMg14Cd
_cell_length_a 10.479
_cell_length_b 6.510
_cell_length_c 11.829
_cell_angle_alpha 90.00
_cell_angle_beta 90.00
_cell_angle_gamma 90.00
_symmetry_space_group_name_H-M 'A m m 2'
_symmetry_Int_Tables_number 38
loop_
_symmetry_equiv_pos_as_xyz
'x,y,z'
'-x,-y,z'
'-x,y,z'
'x,-y,z'
'x,y+1/2,z+1/2'
'-x,-y+1/2,z+1/2'
'-x,y+1/2,z+1/2'
'x,-y+1/2,z+1/2'
loop_
_atom_site_label
_atom_site_fract_x
_atom_site_fract_y
_atom_site_fract_z
Ba1 0.000 0.000 0.000
Mg1 0.000 0.247 0.247
Mg2 0.234 0.000 0.639
Mg3 0.262 0.249 0.391
Mg4 0.268 0.000 0.154
Mg5 0.500 0.000 0.483
Mg6 0.500 0.000 0.982
Mg7 0.500 0.241 0.730
Cd1 0.000 0.000 0.465
# Offset from the most stable computed form   0.00 eV per formula unit

=====

# BaMg14Cd PBE optimized geometry
data_BaMg14Cd
_cell_length_a 6.6219
_cell_length_b 6.6219
_cell_length_c 10.5745
_cell_angle_alpha 90.00
_cell_angle_beta 90.00
_cell_angle_gamma 120.00
_symmetry_space_group_name_H-M 'P -6 m 2'
_symmetry_Int_Tables_number 187
_symmetry_space_group_name_Hall 'P -6 2'
loop_
_atom_site_label
_atom_site_fract_x
_atom_site_fract_y
_atom_site_fract_z
Ba1 0.0000 0.0000 0.0000
Mg1 0.0161 0.5081 0.0000
Mg2 0.1707 0.3413 0.2641
Mg3 0.5042 0.0084 0.5000
Mg4 0.6667 0.3333 0.2381
Cd1 0.0000 0.0000 0.5000
# Offset from the most stable computed form   0.15 eV per formula unit

=====

# BaMgCd4 PBE optimized geometry
data_BaMgCd4
_cell_length_a 13.035
_cell_length_b 13.035
_cell_length_c 8.211
_cell_angle_alpha 90.00
_cell_angle_beta 90.00
_cell_angle_gamma 90.00
_symmetry_space_group_name_H-M 'I 4/m m m'
_symmetry_Int_Tables_number 139
_symmetry_space_group_name_Hall '-I 4 2'
loop_
_atom_site_label
_atom_site_fract_x
_atom_site_fract_y
_atom_site_fract_z
Ba1 0.000 0.000 0.228
Ba2 0.000 0.500 0.250
Mg1 0.000 0.261 0.500
Cd1 0.109 0.284 0.000
Cd2 0.178 0.178 0.317
# Offset from the most stable computed form   0.31 eV per formula unit

=====

# Ba2MgCd2 PBE optimized geometry
data_Ba2MgCd2
_cell_length_a 6.795
_cell_length_b 6.795
_cell_length_c 8.776
_cell_angle_alpha 90.00
_cell_angle_beta 90.00
_cell_angle_gamma 90.00
_symmetry_space_group_name_H-M 'I 4/m m m'
_symmetry_Int_Tables_number 139
_symmetry_space_group_name_Hall '-I 4 2'
loop_
_atom_site_label
_atom_site_fract_x
_atom_site_fract_y
_atom_site_fract_z
Ba1 0.000 0.500 0.250
Mg1 0.000 0.000 0.000
Cd1 0.000 0.000 0.344
# Offset from the most stable computed form   0.80 eV per formula unit

=====

This record from Alexandria via LeMat-Bulk describes a geometry-optimized Ba3Mg2Cd3 structure. The functional is PBE.

Geometry as CIF:
```
data_Ba3Mg2Cd3
_cell_length_a 9.453
_cell_length_b 17.851
_cell_length_c 6.905
_cell_angle_alpha 90.00
_cell_angle_beta 90.00
_cell_angle_gamma 90.00
_symmetry_space_group_name_H-M 'P n m a'
_symmetry_Int_Tables_number 62
loop_
_symmetry_equiv_pos_as_xyz
'x,y,z'
'-x,-y,-z'
'-x+1/2,-y,z+1/2'
'x+1/2,y,-z+1/2'
'x+1/2,-y+1/2,-z+1/2'
'-x+1/2,y+1/2,z+1/2'
'-x,y+1/2,-z'
'x,-y+1/2,z'
loop_
_atom_site_label
_atom_site_fract_x
_atom_site_fract_y
_atom_site_fract_z
Ba1 0.039 0.103 0.135
Ba2 0.181 0.250 0.610
Mg1 0.113 0.599 0.379
Cd1 0.174 0.750 0.598
Cd2 0.182 0.041 0.605
```

=====

This record from Alexandria via LeMat-Bulk describes a geometry-optimized BaMgCd11 structure. The functional is PBE.

Geometry as CIF:
```
data_BaMgCd11
_cell_length_a 6.000
_cell_length_b 14.459
_cell_length_c 7.846
_cell_angle_alpha 90.00
_cell_angle_beta 112.03
_cell_angle_gamma 90.00
_symmetry_space_group_name_H-M 'C 1 2/m 1'
_symmetry_Int_Tables_number 12
loop_
_symmetry_equiv_pos_as_xyz
'x,y,z'
'-x,-y,-z'
'-x,y,-z'
'x,-y,z'
'x+1/2,y+1/2,z'
'-x+1/2,-y+1/2,-z'
'-x+1/2,y+1/2,-z'
'x+1/2,-y+1/2,z'
loop_
_atom_site_label
_atom_site_fract_x
_atom_site_fract_y
_atom_site_fract_z
Ba1 0.000 0.000 0.000
Mg1 0.000 0.500 0.500
Cd1 0.000 0.000 0.500
Cd2 0.107 0.390 0.222
Cd3 0.182 0.177 0.357
Cd4 0.250 0.250 0.000
```

=====

This record from Alexandria via LeMat-Bulk describes a geometry-optimized BaMg2Cd4 structure. The functional is PBE.

Geometry as CIF:
```
data_BaMg2Cd4
_cell_length_a 7.736
_cell_length_b 7.736
_cell_length_c 6.049
_cell_angle_alpha 90.00
_cell_angle_beta 90.00
_cell_angle_gamma 90.00
_symmetry_space_group_name_H-M 'I 4/m m m'
_symmetry_Int_Tables_number 139
_symmetry_space_group_name_Hall '-I 4 2'
loop_
_atom_site_label
_atom_site_fract_x
_atom_site_fract_y
_atom_site_fract_z
Ba1 0.000 0.000 0.000
Mg1 0.000 0.500 0.250
Cd1 0.191 0.191 0.500
```

=====

This record from Alexandria via LeMat-Bulk describes a geometry-optimized BaMg2Cd structure. The functional is PBE.

Geometry as CIF:
```
data_BaMg2Cd
_cell_length_a 18.780
_cell_length_b 8.322
_cell_length_c 6.370
_cell_angle_alpha 90.00
_cell_angle_beta 90.00
_cell_angle_gamma 90.00
_symmetry_space_group_name_H-M 'P n m a'
_symmetry_Int_Tables_number 62
loop_
_symmetry_equiv_pos_as_xyz
'x,y,z'
'-x,-y,-z'
'-x+1/2,-y,z+1/2'
'x+1/2,y,-z+1/2'
'x+1/2,-y+1/2,-z+1/2'
'-x+1/2,y+1/2,z+1/2'
'-x,y+1/2,-z'
'x,-y+1/2,z'
loop_
_atom_site_label
_atom_site_fract_x
_atom_site_fract_y
_atom_site_fract_z
Ba1 0.104 0.250 0.229
Ba2 0.142 0.750 0.461
Mg1 0.036 0.060 0.744
Mg2 0.214 0.560 0.943
Cd1 0.071 0.750 0.969
Cd2 0.183 0.250 0.721
```

=====

This record from Alexandria via LeMat-Bulk describes a geometry-optimized Ba2Mg3Cd4 structure. The functional is PBE.

Geometry as CIF:
```
data_Ba2Mg3Cd4
_cell_length_a 6.190
_cell_length_b 11.038
_cell_length_c 15.739
_cell_angle_alpha 90.00
_cell_angle_beta 90.00
_cell_angle_gamma 90.00
_symmetry_space_group_name_H-M 'F m m m'
_symmetry_Int_Tables_number 69
_symmetry_space_group_name_Hall '-F 2 2'
loop_
_atom_site_label
_atom_site_fract_x
_atom_site_fract_y
_atom_site_fract_z
Ba1 0.000 0.000 0.142
Mg1 0.000 0.000 0.500
Mg2 0.250 0.250 0.000
Cd1 0.000 0.174 0.338
```

=====

Here are the calculated electronic total energy numbers, same order: -1.417, -1.419, -1.674, -1.526, -1.516, -1.299, -1.534, -1.680, -1.194, -1.478, -1.664, -1.554 (eV per atom).
Here are the calculated density numbers, same order: 3.23, 6.12, 3.74, 2.43, 2.44, 5.82, 4.29, 4.55, 7.36, 5.83, 3.98, 4.92 (g/cm3).
Here are the calculated magnetic moment numbers, same order: 0.0, 0.0, 0.0, 0.0, 0.0, 0.0, 0.0, 0.0, 0.0, 0.0, 0.0, 0.0 (μB/f.u.).